Record 1
Compound: MgNb3Sn
Source: the Alexandria database
Functional: GGA-PBEsol
Structure: relaxed

Cell: 5.0304 5.0304 5.0304 Å, 90.00 90.00 90.00°
Atoms (fractional coordinates):
Mg 0.0000 0.0000 0.0000
Nb 0.0000 0.5000 0.5000
Nb 0.5000 0.0000 0.5000
Nb 0.5000 0.5000 0.0000
Sn 0.5000 0.5000 0.5000

Results
V ... 25.46 A^3/atom
D(E_F) ... 1.138 states/eV/atom
DFT total energy ... -6.152 eV per atom
Energy relative to the elements ... 1.54 eV/atom

Record 2
Compound: Mg3NbSn
Source: the Alexandria database
Functional: GGA-PBEsol
Structure: relaxed

Cell: 5.2347 5.2347 5.2347 Å, 90.00 90.00 90.00°
Atoms (fractional coordinates):
Mg 0.0000 0.0000 0.5000
Mg 0.0000 0.5000 0.0000
Mg 0.5000 0.0000 0.0000
Nb 0.5000 0.5000 0.5000
Sn 0.0000 0.0000 0.0000

Results
V ... 28.69 A^3/atom
D(E_F) ... 1.647 states/eV/atom
DFT total energy ... -2.929 eV per atom
Energy relative to the elements ... 1.12 eV/atom